[1]
This record from the Alexandria database describes a geometry-optimized PmErPt3 structure. The functional is PBE.

Geometry as CIF:
```
data_PmErPt3
_chemical_formula_sum 'Pm4 Er4 Pt12'
_cell_length_a 3.832
_cell_length_b 27.004
_cell_length_c 4.258
_cell_angle_alpha 90.00
_cell_angle_beta 90.00
_cell_angle_gamma 90.00
_space_group_name_H-M_alt 'C m c m'
_space_group_IT_number 63
_space_group_name_Hall '-C 2c 2'
loop_
_atom_site_label
_atom_site_fract_x
_atom_site_fract_y
_atom_site_fract_z
Pm1 0.000 0.074 0.250
Er1 0.000 0.207 0.750
Pt1 0.000 0.313 0.750
Pt2 0.000 0.375 0.250
Pt3 0.000 0.472 0.250
```

Computed properties:
- DFT formation energy: -1121 meV per atom

[2]
This record from the Alexandria database describes a geometry-optimized Li4Nd3Cd4 structure. The functional is PBE.

Geometry as CIF:
```
data_Li4Nd3Cd4
_chemical_formula_sum 'Li4 Nd3 Cd4'
_cell_length_a 3.337
_cell_length_b 5.020
_cell_length_c 16.127
_cell_angle_alpha 98.90
_cell_angle_beta 95.92
_cell_angle_gamma 90.04
_space_group_name_H-M_alt 'P -1'
_space_group_IT_number 2
loop_
_space_group_symop_operation_xyz
'x,y,z'
'-x,-y,-z'
loop_
_atom_site_label
_atom_site_fract_x
_atom_site_fract_y
_atom_site_fract_z
Li1 0.092 0.093 0.186
Li2 0.240 0.740 0.479
Nd1 0.358 0.358 0.717
Nd2 0.500 0.000 0.000
Cd1 0.049 0.550 0.099
Cd2 0.186 0.187 0.372
```

Computed properties:
- DFT formation energy: -197 meV per atom

[3]
This record from the Alexandria database describes a geometry-optimized Cs4TlHg2 structure. The functional is PBE.

Geometry as CIF:
```
data_Cs4TlHg2
_chemical_formula_sum 'Cs8 Tl2 Hg4'
_cell_length_a 7.284
_cell_length_b 7.284
_cell_length_c 21.293
_cell_angle_alpha 90.00
_cell_angle_beta 90.00
_cell_angle_gamma 90.00
_space_group_name_H-M_alt 'I 4/m m m'
_space_group_IT_number 139
_space_group_name_Hall '-I 4 2'
loop_
_atom_site_label
_atom_site_fract_x
_atom_site_fract_y
_atom_site_fract_z
Cs1 0.000 0.000 0.182
Cs2 0.000 0.500 0.000
Tl1 0.000 0.000 0.500
Hg1 0.000 0.000 0.359
```

Computed properties:
- DFT formation energy: -8 meV per atom